[1]
Entry from Alexandria: a relaxed CaV2P3O12 crystal (PBEsol).

Values from the calculation:
The crystal system is monoclinic. For the energy relative to the elements, uncorrected, the calculation gives -2.421 eV per atom. The space group is P2_1/c, No. 14. The magnetic moment is 3.0 μB per formula unit.

Lattice parameters (Å, degrees): 6.2691 20.0398 8.8001 90.00 133.52 90.00
Closest atoms and distances in Å follow each position.
Fractional positions:
Ca 0.2044 0.0769 0.0652  4 O 2.17-2.37
Ca 0.2044 0.4231 0.5652  4 O 2.17-2.37
Ca 0.7956 0.5769 0.4348  4 O 2.17-2.37
Ca 0.7956 0.9231 0.9348  4 O 2.17-2.37
V 0.3354 0.0963 0.7363  5 O 1.89-2.08
V 0.3354 0.4037 0.2363  5 O 1.89-2.08
V 0.3365 0.7085 0.4064  5 O 1.84-2.04
V 0.3365 0.7915 0.9064  5 O 1.84-2.04
V 0.6635 0.2085 0.0936  5 O 1.84-2.04
V 0.6635 0.2915 0.5936  5 O 1.84-2.04
V 0.6646 0.5963 0.7637  5 O 1.89-2.08
V 0.6646 0.9037 0.2637  5 O 1.89-2.08
P 0.1524 0.2489 0.0851  4 O 1.53-1.57
P 0.1524 0.2511 0.5851  4 O 1.53-1.57
P 0.1518 0.5494 0.2730  4 O 1.51-1.61
P 0.1518 0.9506 0.7730  4 O 1.51-1.61
P 0.2997 0.6233 0.8944  4 O 1.48-1.58
P 0.2997 0.8767 0.3944  4 O 1.48-1.58
P 0.7003 0.1233 0.6056  4 O 1.48-1.58
P 0.7003 0.3767 0.1056  4 O 1.48-1.58
P 0.8482 0.0494 0.2270  4 O 1.51-1.61
P 0.8482 0.4506 0.7270  4 O 1.51-1.61
P 0.8476 0.7489 0.4149  4 O 1.53-1.57
P 0.8476 0.7511 0.9149  4 O 1.53-1.57
O 0.0060 0.7022 0.3804  1 P 1.54
O 0.0060 0.7978 0.8804  1 P 1.54
O 0.0286 0.5200 0.3570  1 P 1.51
O 0.0286 0.9800 0.8570  1 P 1.51
O 0.0322 0.1083 0.7373  1 P 1.56
O 0.0322 0.3917 0.2373  1 P 1.56
O 0.0717 0.7090 0.1121  1 P 1.53
O 0.0717 0.7910 0.6121  1 P 1.53
O 0.0740 0.0807 0.4442  1 P 1.52
O 0.0740 0.4193 0.9442  1 P 1.52
O 0.3329 0.2018 0.0714  1 P 1.54
O 0.3329 0.2982 0.5714  1 P 1.54
O 0.3354 0.6012 0.7410  1 P 1.58
O 0.3354 0.8988 0.2410  1 P 1.58
O 0.3494 0.0013 0.7832  1 P 1.56
O 0.3494 0.4987 0.2832  1 P 1.56
O 0.3518 0.6997 0.9256  1 P 1.55
O 0.3518 0.8003 0.4256  1 P 1.55
O 0.3646 0.1997 0.7683  1 P 1.57
O 0.3646 0.3003 0.2683  1 P 1.57
O 0.3778 0.6073 0.4325  1 P 1.61
O 0.3778 0.8927 0.9325  1 P 1.61
O 0.4919 0.5875 0.0975  1 P 1.48
O 0.4919 0.9125 0.5975  1 P 1.48
O 0.5081 0.0875 0.4025  1 P 1.48
O 0.5081 0.4125 0.9025  1 P 1.48
O 0.6222 0.1073 0.0675  1 P 1.61
O 0.6222 0.3927 0.5675  1 P 1.61
O 0.6354 0.6997 0.7317  1 P 1.57
O 0.6354 0.8003 0.2317  1 P 1.57
O 0.6482 0.1997 0.5744  1 P 1.55
O 0.6482 0.3003 0.0744  1 P 1.55
O 0.6506 0.5013 0.7168  1 P 1.56
O 0.6506 0.9987 0.2168  1 P 1.56
O 0.6646 0.1012 0.7590  1 P 1.58
O 0.6646 0.3988 0.2590  1 P 1.58
O 0.6671 0.7018 0.4286  1 P 1.54
O 0.6671 0.7982 0.9286  1 P 1.54
O 0.9260 0.5807 0.0558  1 P 1.52
O 0.9260 0.9193 0.5558  1 P 1.52
O 0.9283 0.2090 0.3879  1 P 1.53
O 0.9283 0.2910 0.8879  1 P 1.53
O 0.9678 0.6083 0.7627  1 P 1.56
O 0.9678 0.8917 0.2627  1 P 1.56
O 0.9714 0.0200 0.1430  1 P 1.51
O 0.9714 0.4800 0.6430  1 P 1.51
O 0.9940 0.2022 0.1196  1 P 1.54
O 0.9940 0.2978 0.6196  1 P 1.54


[2]
Entry from Alexandria: a relaxed AlTl2Mo crystal (PBEsol).

Values from the calculation:
The crystal system is tetragonal. The space group is P4mm, No. 99. The energy above the most stable polymorph in this dataset comes out at 0.000 eV/atom. The magnetic moment is 0.0 μB per formula unit.

Lattice parameters (Å, degrees): 3.5549 3.5549 6.2528 90.00 90.00 90.00
Closest atoms and distances in Å follow each position.
Fractional positions:
Al 0.0000 0.0000 0.0000  1 Tl 2.69, 4 Mo 2.72
Tl 0.0000 0.0000 0.4301  1 Al 2.69, 4 Mo 3.01
Tl 0.5000 0.5000 0.7121  1 Mo 2.83, 4 Tl 3.07, 4 Al 3.09
Mo 0.5000 0.5000 0.1647  4 Al 2.72, 5 Tl 2.83-3.01


[3]
Entry from Alexandria: a relaxed In6S7 crystal (PBEsol).

Values from the calculation:
The crystal system is monoclinic. For the energy relative to the elements, uncorrected, the calculation gives -0.541 eV per atom. The space group is P2_1/m, No. 11. The magnetic moment is 0.0 μB per formula unit.

Lattice parameters (Å, degrees): 9.0398 3.8674 17.0013 90.00 101.79 90.00
Closest atoms and distances in Å follow each position.
Fractional positions:
In 0.0235 0.2500 0.1053  6 S 2.56-2.78
In 0.0592 0.2500 0.6191  3 S 2.54-2.59, 1 In 2.75
In 0.1860 0.7500 0.3079  3 S 2.54-2.61, 1 In 2.75
In 0.3261 0.2500 0.9677  6 S 2.54-2.75
In 0.3536 0.7500 0.5459  6 S 2.60-2.65
In 0.4592 0.2500 0.7724  7 S 3.00-3.35
In 0.5408 0.7500 0.2276  7 S 3.00-3.35
In 0.6464 0.2500 0.4541  6 S 2.60-2.65
In 0.6739 0.7500 0.0323  6 S 2.54-2.75
In 0.8140 0.2500 0.6921  3 S 2.54-2.61, 1 In 2.75
In 0.9408 0.7500 0.3809  3 S 2.54-2.59, 1 In 2.75
In 0.9765 0.7500 0.8947  6 S 2.56-2.78
S 0.1150 0.2500 0.8422  3 In 2.55-2.56
S 0.1616 0.2500 0.4909  3 In 2.54-2.64
S 0.1688 0.7500 0.0312  5 In 2.60-2.78
S 0.2404 0.7500 0.6749  3 In 2.59-2.60
S 0.2526 0.2500 0.2245  3 In 2.54-2.58
S 0.4465 0.7500 0.4085  4 In 2.61-2.65
S 0.4637 0.7500 0.9079  3 In 2.54-2.62
S 0.5363 0.2500 0.0921  3 In 2.54-2.62
S 0.5535 0.2500 0.5915  4 In 2.61-2.65
S 0.7474 0.7500 0.7755  3 In 2.54-2.58
S 0.7596 0.2500 0.3251  3 In 2.59-2.60
S 0.8312 0.2500 0.9688  5 In 2.60-2.78
S 0.8384 0.7500 0.5091  3 In 2.54-2.64
S 0.8850 0.7500 0.1578  3 In 2.55-2.56


[4]
Entry from Alexandria: a relaxed MnPRu crystal (PBEsol).

Values from the calculation:
The crystal system is cubic. The value obtained for the uncorrected energy is -8.914 eV per atom. The space group is F-43m, No. 216. The magnetic moment is 2.8 μB per formula unit.

Lattice parameters (Å, degrees): 3.8389 3.8389 3.8389 60.00 60.00 60.00
Closest atoms and distances in Å follow each position.
Fractional positions:
Mn 0.0000 0.0000 0.0000  4 P 2.35
P 0.2500 0.2500 0.2500  4 Mn 2.35, 4 Ru 2.35
Ru 0.5000 0.5000 0.5000  4 P 2.35


[5]
Entry from Alexandria: a relaxed MgPbAu2 crystal (PBEsol).

Values from the calculation:
The crystal system is orthorhombic. The value obtained for the uncorrected energy is -3.683 eV per atom. The space group is Pmmm, No. 47. The magnetic moment is 0.0 μB per formula unit.

Lattice parameters (Å, degrees): 3.3258 3.4327 7.0596 90.00 90.00 90.00
Closest atoms and distances in Å follow each position.
Fractional positions:
Mg 0.0000 0.0000 0.0000  8 Au 2.80
Pb 0.0000 0.0000 0.5000  8 Au 3.16, 4 Pb 3.33-3.43, 2 Mg 3.53
Au 0.5000 0.5000 0.2073  4 Mg 2.80, 1 Au 2.93
Au 0.5000 0.5000 0.7927  4 Mg 2.80, 1 Au 2.93


[6]
Entry from Alexandria: a relaxed KBeSi crystal (PBEsol).

Values from the calculation:
The crystal system is cubic. For the energy relative to the elements, uncorrected, the calculation gives 0.911 eV per atom. The space group is F-43m, No. 216. The magnetic moment is 0.1 μB per formula unit.

Lattice parameters (Å, degrees): 4.5178 4.5178 4.5178 60.00 60.00 60.00
Closest atoms and distances in Å follow each position.
Fractional positions:
K 0.0000 0.0000 0.0000  4 Be 2.77
Be 0.2500 0.2500 0.2500  4 Si 2.77, 4 K 2.77
Si 0.5000 0.5000 0.5000  4 Be 2.77


[7]
Entry from Alexandria: a relaxed ZnSe crystal (PBEsol).

Values from the calculation:
The crystal system is cubic. For the energy relative to the elements, uncorrected, the calculation gives -0.670 eV per atom. The space group is F-43m, No. 216. The magnetic moment is 0.0 μB per formula unit.

Lattice parameters (Å, degrees): 3.9851 3.9851 3.9851 60.00 60.00 60.00
Closest atoms and distances in Å follow each position.
Fractional positions:
Zn 0.0000 0.0000 0.0000  4 Se 2.44
Se 0.7500 0.7500 0.7500  4 Zn 2.44


[8]
Entry from Alexandria: a relaxed LaAgAuN2 crystal (PBEsol).

Values from the calculation:
The crystal system is tetragonal. For the energy relative to the elements, uncorrected, the calculation gives 1.297 eV per atom. The space group is P4/mmm, No. 123. The magnetic moment is 2.1 μB per formula unit.

Lattice parameters (Å, degrees): 4.1370 4.1370 5.6265 90.00 90.00 90.00
Closest atoms and distances in Å follow each position.
Fractional positions:
La 0.0000 0.0000 0.0000  2 Ag 2.81, 4 Au 2.93
Ag 0.0000 0.0000 0.5000  4 N 2.07
Au 0.5000 0.5000 0.0000  4 La 2.93
N 0.0000 0.5000 0.5000  2 Ag 2.07
N 0.5000 0.0000 0.5000  2 Ag 2.07


Q: Number 6 is which compound?
A: KBeSi